1.
Below is Tm4GaSn after structural relaxation, with properties calculated at the GGA-PBE level.

Structure (CIF):
```
data_Tm4GaSn
_symmetry_space_group_name_H-M 'C 1 2/c 1'
_symmetry_Int_Tables_number 15
_symmetry_space_group_name_Hall '-C 2yc'
_cell_length_a 8.825
_cell_length_b 13.417
_cell_length_c 6.021
_cell_angle_alpha 90.00
_cell_angle_beta 115.03
_cell_angle_gamma 90.00
loop_
_atom_site_label
_atom_site_fract_x
_atom_site_fract_y
_atom_site_fract_z
Tm1 0.114 0.181 0.075
Tm2 0.206 0.422 0.326
Ga1 0.000 0.000 0.250
Sn1 0.000 0.377 0.750
```

Calculated values
Formation energy, eV per atom: -0.447
Volume, Å³/atom: 26.915

2.
Below is HoTm4S5 after structural relaxation, with properties calculated at the GGA-PBE level.

Structure (CIF):
```
data_HoTm4S5
_symmetry_space_group_name_H-M 'I m m m'
_symmetry_Int_Tables_number 71
_symmetry_space_group_name_Hall '-I 2 2'
_cell_length_a 3.855
_cell_length_b 5.434
_cell_length_c 19.254
_cell_angle_alpha 90.00
_cell_angle_beta 90.00
_cell_angle_gamma 90.00
loop_
_atom_site_label
_atom_site_fract_x
_atom_site_fract_y
_atom_site_fract_z
Ho1 0.000 0.000 0.000
Tm1 0.000 0.000 0.201
Tm2 0.000 0.000 0.400
S1 0.000 0.500 0.000
S2 0.000 0.500 0.200
S3 0.000 0.500 0.399
```

Calculated values
Uncorrected energy, eV per atom: -6.2438
Volume, Å³/atom: 20.167